(1)
Material: TaBeGaNi
Method: DFT, PBE-GGA
State: relaxed

```
TaBeGaNi
1.0
0.0000 2.9727 2.9727
2.9727 0.0000 2.9727
2.9727 2.9727 0.0000
Ta Be Ga Ni
1 1 1 1
Direct
0.0000 0.0000 0.0000 Ta
0.7500 0.7500 0.7500 Be
0.2500 0.2500 0.2500 Ga
0.5000 0.5000 0.5000 Ni
```



(2)
Material: TaBeGaNi
Method: DFT, PBE-GGA
State: relaxed

```
TaBeGaNi
1.0
0.0000 2.9597 2.9597
2.9597 0.0000 2.9597
2.9597 2.9597 0.0000
Ta Be Ga Ni
1 1 1 1
Direct
0.0000 0.0000 0.0000 Ta
0.2500 0.2500 0.2500 Be
0.5000 0.5000 0.5000 Ga
0.7500 0.7500 0.7500 Ni
```



(3)
Material: BeGaTcNi
Method: DFT, PBE-GGA
State: relaxed

```
BeGaTcNi
1.0
0.0000 2.8804 2.8804
2.8804 0.0000 2.8804
2.8804 2.8804 0.0000
Be Ga Tc Ni
1 1 1 1
Direct
0.0000 0.0000 0.0000 Be
0.5000 0.5000 0.5000 Ga
0.2500 0.2500 0.2500 Tc
0.7500 0.7500 0.7500 Ni
```



Number 1: polymorph energy (0 for the lowest one) 12.76 kJ per mole of atoms. Number 2: polymorph energy (0 for the lowest one) 0.00 kJ per mole of atoms. Number 3: polymorph energy (0 for the lowest one) 0.00 kJ per mole of atoms.